# 1
VASP calculation (PBE) on Cs2FeBiCl6 after structural relaxation.

Cell lengths 7.516, 7.516, 7.721 Å; angles 60.87, 60.87, 90.00 degrees
Last column: magnetic moment on the atom in μB.
Element x y z (fractional)
Cs 0.250 0.750 0.500  0.00
Cl 0.257 0.743 0.000  0.02
Bi 0.000 0.000 0.000  -0.39
Cl 0.743 0.743 0.000  0.02
Cl 0.289 0.289 0.422  0.02
Cl 0.743 0.257 0.000  0.02
Fe 0.500 0.500 0.000  3.31
Cl 0.711 0.711 0.578  0.02
Cl 0.257 0.257 0.000  0.02
Cs 0.750 0.250 0.500  0.00

N(E_F) = 0.320 states/eV per cell
Formation energy without anion corrections = -1.2146 eV/atom
Final energy = -3.728 eV per atom
SG = I4/mmm (139)


# 2
VASP calculation (PBE) on Cs2GaBiCl6 after structural relaxation.

Cell lengths 7.929, 7.929, 7.929 Å; angles 60.00, 60.00, 90.00 degrees
Element x y z (fractional)
Bi 0.000 0.000 0.000
Cl 0.756 0.244 0.000
Cl 0.756 0.756 0.000
Cs 0.250 0.750 0.500
Ga 0.500 0.500 0.000
Cs 0.750 0.250 0.500
Cl 0.244 0.244 0.513
Cl 0.756 0.756 0.487
Cl 0.244 0.756 0.000
Cl 0.244 0.244 0.000

N(E_F) = 0.000 states/eV per cell
Formation energy without anion corrections = -1.4022 eV/atom
Final energy = -3.372 eV per atom
SG = Fm-3m (225)


# 3
VASP calculation (PBE) on CsGe2BiCl8 after structural relaxation.

Cell lengths 7.142, 6.474, 9.886 Å; angles 92.91, 87.21, 82.93 degrees
Element x y z (fractional)
Bi 0.000 0.000 0.000
Cs 0.000 0.000 0.500
Cl 0.383 0.272 0.603
Cl 0.199 0.787 0.185
Cl 0.696 0.774 0.037
Ge 0.562 0.554 0.200
Cl 0.304 0.226 0.963
Cl 0.130 0.715 0.790
Cl 0.801 0.213 0.815
Ge 0.438 0.446 0.800
Cl 0.870 0.285 0.210
Cl 0.617 0.728 0.397

N(E_F) = 0.000 states/eV per cell
Formation energy without anion corrections = -1.0633 eV/atom
Final energy = -3.459 eV per atom
SG = P-1 (2)


# 4
VASP calculation (PBE) on Cs2BiHCl6 after structural relaxation.

Cell lengths 7.039, 7.039, 7.851 Å; angles 63.37, 63.37, 90.00 degrees
Element x y z (fractional)
Cs 0.750 0.250 0.500
Bi 0.000 0.000 0.000
Cl 0.777 0.777 0.445
H 0.500 0.500 0.000
Cl 0.726 0.274 0.000
Cl 0.274 0.726 0.000
Cl 0.726 0.726 0.000
Cs 0.250 0.750 0.500
Cl 0.223 0.223 0.555
Cl 0.274 0.274 0.000

N(E_F) = 0.000 states/eV per cell
Final energy = -3.084 eV per atom
SG = I4/mmm (139)


# 5
VASP calculation (PBE) on Cs7BiH2Cl2 after structural relaxation.

Cell lengths 6.735, 6.746, 13.284 Å; angles 104.71, 104.68, 90.00 degrees
Element x y z (fractional)
Cs 0.262 0.262 0.525
Cl 0.250 0.750 0.500
Cs 0.399 0.890 0.798
H 0.619 0.627 0.238
Bi 0.000 0.011 0.000
Cs 0.601 0.093 0.202
Cs 0.899 0.405 0.798
Cl 0.750 0.250 0.500
H 0.381 0.389 0.762
Cs 0.101 0.607 0.202
Cs 0.738 0.737 0.475
Cs 0.500 0.477 0.000

Final energy = -2.495 eV per atom
SG = Imm2 (44)


# 6
VASP calculation (PBE) on CsHg2BiCl8 after structural relaxation.

Cell lengths 6.694, 7.193, 9.748 Å; angles 66.58, 77.31, 81.01 degrees
Element x y z (fractional)
Cl 0.321 0.232 0.971
Hg 0.465 0.467 0.726
Cl 0.126 0.708 0.255
Hg 0.535 0.533 0.274
Cl 0.874 0.292 0.745
Cs 0.000 0.000 0.500
Cl 0.553 0.742 0.490
Bi 0.000 0.000 0.000
Cl 0.679 0.768 0.029
Cl 0.447 0.258 0.510
Cl 0.772 0.191 0.175
Cl 0.228 0.809 0.825

N(E_F) = 0.000 states/eV per cell
Formation energy without anion corrections = -0.9479 eV/atom
Final energy = -2.624 eV per atom
SG = P-1 (2)


# 7
VASP calculation (PBE) on Cs2Hg2BiCl4 after structural relaxation.

Cell lengths 7.544, 7.544, 7.544 Å; angles 104.57, 111.98, 111.98 degrees
Element x y z (fractional)
Cl 0.000 0.769 0.231
Cl 0.538 0.769 0.769
Bi 0.000 0.000 0.000
Cl 0.000 0.231 0.769
Hg 0.000 0.658 0.658
Hg 0.000 0.342 0.342
Cs 0.500 0.250 0.750
Cs 0.500 0.750 0.250
Cl 0.462 0.231 0.231

N(E_F) = 1.380 states/eV per cell
Formation energy without anion corrections = -1.1501 eV/atom
Final energy = -2.659 eV per atom
SG = I4/mmm (139)


# 8
VASP calculation (PBE) on Cs2BiICl6 after structural relaxation.

Cell lengths 7.948, 7.948, 8.467 Å; angles 62.01, 62.01, 90.00 degrees
Element x y z (fractional)
Cl 0.787 0.787 0.426
Cl 0.213 0.213 0.574
Cl 0.762 0.762 0.000
Cl 0.238 0.762 0.000
Cl 0.762 0.238 0.000
I 0.500 0.500 0.000
Cs 0.250 0.750 0.500
Cl 0.238 0.238 0.000
Bi 0.000 0.000 0.000
Cs 0.750 0.250 0.500

N(E_F) = 5.323 states/eV per cell
Formation energy without anion corrections = -1.1451 eV/atom
Final energy = -2.967 eV per atom
SG = I4/mmm (139)


# 9
VASP calculation (PBE) on Cs2InBiCl6 after structural relaxation.

Cell lengths 7.960, 8.220, 11.422 Å; angles 90.00, 89.99, 90.00 degrees
Element x y z (fractional)
In 0.500 0.000 0.000
Bi 0.500 0.000 0.500
Cl 0.311 0.725 0.463
Cl 0.429 0.984 0.734
Cl 0.571 0.016 0.266
Cs 0.486 0.446 0.250
Cl 0.189 0.225 0.037
Cl 0.811 0.775 0.963
Cl 0.929 0.516 0.234
Cs 0.986 0.054 0.750
Cs 0.014 0.946 0.250
Cl 0.722 0.308 0.964
Cs 0.514 0.554 0.750
Cl 0.778 0.808 0.536
Cl 0.278 0.692 0.036
Bi 0.000 0.500 0.000
Cl 0.071 0.484 0.766
Cl 0.222 0.192 0.464
In 0.000 0.500 0.500
Cl 0.689 0.275 0.537

N(E_F) = 0.000 states/eV per cell
Formation energy without anion corrections = -1.4258 eV/atom
Final energy = -3.366 eV per atom
SG = P2_1/c (14)


# 10
VASP calculation (PBE) on CsIn2BiCl6 after structural relaxation.

Cell lengths 8.011, 8.011, 8.363 Å; angles 61.23, 61.20, 59.73 degrees
Element x y z (fractional)
In 0.524 0.524 0.429
Cl 0.380 0.688 0.769
Cl 0.689 0.159 0.772
Cl 0.238 0.973 0.236
Cl 0.552 0.239 0.235
Cl 0.162 0.380 0.771
Cl 0.973 0.555 0.235
In 0.012 0.012 0.965
Cs 0.807 0.808 0.576
Bi 0.324 0.324 0.028

N(E_F) = 0.000 states/eV per cell
Formation energy without anion corrections = -1.1433 eV/atom
Final energy = -3.272 eV per atom
SG = P1 (1)


# 11
VASP calculation (PBE) on Cs2InBiCl6 after structural relaxation.

Cell lengths 8.107, 8.107, 8.107 Å; angles 60.00, 60.00, 60.00 degrees
Element x y z (fractional)
Bi 0.000 0.000 0.000
Cl 0.762 0.238 0.762
Cl 0.238 0.762 0.238
Cl 0.762 0.238 0.238
Cl 0.238 0.238 0.762
Cl 0.238 0.762 0.762
Cs 0.250 0.250 0.250
Cs 0.750 0.750 0.750
In 0.500 0.500 0.500
Cl 0.762 0.762 0.238

Formation energy without anion corrections = -1.4144 eV/atom
Final energy = -3.355 eV per atom
SG = Fm-3m (225)


# 12
VASP calculation (PBE) on Cs2BiIrCl6 after structural relaxation.

Cell lengths 7.493, 7.493, 7.506 Å; angles 60.06, 60.06, 90.00 degrees
Element x y z (fractional)
Cl 0.268 0.268 0.000
Cl 0.268 0.732 0.000
Cl 0.732 0.268 0.000
Ir 0.500 0.500 0.000
Bi 0.000 0.000 0.000
Cl 0.732 0.732 0.536
Cs 0.750 0.250 0.500
Cl 0.732 0.732 0.000
Cl 0.268 0.268 0.464
Cs 0.250 0.750 0.500

N(E_F) = 3.883 states/eV per cell
Formation energy without anion corrections = -1.0276 eV/atom
Final energy = -3.580 eV per atom
SG = I4/mmm (139)